Here is a relaxed structure of FeAg2Cl from Alexandria. Energies are from PBE.

ΔE to the lowest computed polymorph, meV per atom: 541
Density, Mg/m³: 6.97
Density of states at the Fermi level, states/eV/cell: 5.26
Symmetry: Fm-3m (225)

Structure (POSCAR):
```
FeAg2Cl
1.0
0.0000 3.3195 3.3195
3.3195 0.0000 3.3195
3.3195 3.3195 0.0000
Fe Ag Cl
1 2 1
Cartesian
0.0000 0.0000 0.0000
1.6598 1.6598 1.6598
4.9793 4.9793 4.9793
3.3195 3.3195 3.3195
```